# Sc3GaCu8 (GGA-PBE, optimized geometry)
# Energy of formation in kcal/mol of atoms: -5.33
# VASP energy in eV per atom: -4.80
data_Sc3GaCu8
_chemical_formula_sum 'Sc9 Ga3 Cu24'
_cell_length_a 4.9890
_cell_length_b 4.9890
_cell_length_c 24.5741
_cell_angle_alpha 90.00
_cell_angle_beta 90.00
_cell_angle_gamma 120.00
_space_group_name_H-M_alt 'R 3 m'
_space_group_IT_number 160
_space_group_name_Hall 'R 3 -2"'
loop_
_atom_site_label
_atom_site_fract_x
_atom_site_fract_y
_atom_site_fract_z
Sc1 0.0000 0.0000 0.0000
Sc2 0.0000 0.0000 0.1255
Sc3 0.0000 0.0000 0.6154
Ga1 0.0000 0.0000 0.4918
Cu1 0.0000 0.0000 0.3086
Cu2 0.0000 0.0000 0.8092
Cu3 0.9997 0.4999 0.0588
Cu4 0.0030 0.5015 0.5592


# ScGaCu (GGA-PBE, optimized geometry)
# Energy of formation in kcal/mol of atoms: -9.79
# VASP energy in eV per atom: -4.91
data_ScGaCu
_chemical_formula_sum 'Sc2 Ga2 Cu2'
_cell_length_a 4.121
_cell_length_b 4.351
_cell_length_c 5.872
_cell_angle_alpha 90.00
_cell_angle_beta 110.61
_cell_angle_gamma 90.00
_space_group_name_H-M_alt 'P 1 21/m 1'
_space_group_IT_number 11
_space_group_name_Hall '-P 2yb'
loop_
_atom_site_label
_atom_site_fract_x
_atom_site_fract_y
_atom_site_fract_z
Sc1 0.099 0.250 0.197
Ga1 0.397 0.250 0.792
Cu1 0.237 0.750 0.478


# ScGaCu (GGA-PBE, optimized geometry)
# Energy of formation in kcal/mol of atoms: -7.64
# VASP energy in eV per atom: -4.82
data_ScGaCu
_chemical_formula_sum 'Sc4 Ga4 Cu4'
_cell_length_a 6.039
_cell_length_b 6.039
_cell_length_c 6.039
_cell_angle_alpha 90.00
_cell_angle_beta 90.00
_cell_angle_gamma 90.00
_space_group_name_H-M_alt 'F -4 3 m'
_space_group_IT_number 216
_space_group_name_Hall 'F -4 2 3'
loop_
_atom_site_label
_atom_site_fract_x
_atom_site_fract_y
_atom_site_fract_z
Sc1 0.000 0.000 0.000
Ga1 0.000 0.000 0.500
Cu1 0.250 0.250 0.750